The following is a GGA-PBE calculation of a relaxed Cu2ReC2 crystal, from the Alexandria database.

Unit cell a=5.0345 b=5.0345 c=5.0345 alpha=141.69 beta=141.69 gamma=55.30
Last column: nearest neighbours and their distance in Å.
Fractional coordinates of all 5 atoms:
Cu1 0.2500 0.7500 0.5000  4 C 2.24, 4 Cu 2.34
Cu2 0.7500 0.2500 0.5000  4 C 2.24, 4 Cu 2.34
Re1 0.0000 0.0000 0.0000  8 C 2.44
C1 0.4204 0.4204 0.0000  1 C 1.42
C2 0.5796 0.5796 0.0000  1 C 1.42

Summary:
VASP energy   -33.03 eV/cell
Energy above the most stable polymorph in this dataset   242 meV per atom
Density of states at the Fermi level   4.3 states/eV/cell
Space group   I4/mmm (139)
Energy of formation from the pure elements   1.212 eV per atom